(1)
The following is a meta-GGA SCAN calculation of ReTc2P at its PBEsol-relaxed geometry, from Alexandria.

```
ReTc2P
1.0
3.6588 0.0000 0.0000
0.0000 3.6588 0.0000
-1.8294 -1.8294 4.0262
P Re Tc
1 1 2
direct
0.5000 0.5000 0.0000
0.2500 0.7500 0.5000
0.0000 0.0000 0.0000
0.7500 0.2500 0.5000
```

Summary:
* theoretical density: 12.7 g/cm3
* crystal system: tetragonal
* total DFT energy (no corrections): -37.705 eV per atom

---

(2)
The following is a meta-GGA SCAN calculation of MoAuSe2 at its PBEsol-relaxed geometry, from Alexandria.

```
MoAuSe2
1.0
-0.1907 -1.7105 -2.5166
-1.3149 -2.7481 0.1207
-8.9678 2.4744 -2.8493
Au Mo Se
1 1 2
direct
0.5071 0.5071 0.4786
0.2507 0.2507 0.2479
0.9783 0.9783 0.0652
0.7639 0.7639 0.7083
```

Summary:
* theoretical density: 9.7 g/cm3
* crystal system: trigonal
* uncorrected formation energy: 0.096 eV/atom
* distance to the lowest polymorph of the same formula: 18 meV/atom

---

(3)
The following is a meta-GGA SCAN calculation of KZr2Co at its PBEsol-relaxed geometry, from Alexandria.

```
KZr2Co
1.0
3.5799 0.0000 0.0000
0.0000 4.6682 0.0000
0.0000 0.0000 4.6682
Co K Zr
1 1 2
direct
0.5000 0.5000 0.5000
0.5000 0.0000 0.0000
0.0000 0.0000 0.5000
0.0000 0.5000 0.0000
```

Summary:
* theoretical density: 6.0 g/cm3
* crystal system: tetragonal
* distance to the lowest polymorph of the same formula: 37 meV/atom